Entry 1:
Crystalline PuZnBi at its relaxed geometry, computed with GGA-PBE.

SG: I4mm, No. 107
uncorrected energy: -6.5939 eV/atom
energy of formation from the pure elements: -0.10 eV per atom

Cell: 3.569 3.569 6.438 Å, 106.09 106.09 90.00°
Fractional positions:
Zn  0.331  0.331  0.663
Bi  0.683  0.683  0.366
Pu  0.986  0.986  0.972

Entry 2:
Crystalline CdAu8 at its relaxed geometry, computed with GGA-PBE.

SG: I4/mmm, No. 139
uncorrected energy: -3.0655 eV/atom
energy of formation from the pure elements: -0.05 eV per atom

Cell: 6.562 6.562 8.773 Å, 48.05 48.05 83.90°
Fractional positions:
Au  0.000  0.000  0.333
Au  0.000  0.000  0.667
Au  0.333  0.667  0.000
Au  0.333  0.667  0.333
Au  0.333  0.667  0.667
Au  0.667  0.333  0.000
Au  0.667  0.333  0.333
Au  0.667  0.333  0.667
Cd  0.000  0.000  0.000

Entry 3:
Crystalline K12Cd3H5 at its relaxed geometry, computed with GGA-PBE.

SG: Ia-3d, No. 230
uncorrected energy: -1.6201 eV/atom

Cell: 15.982 15.982 15.982 Å, 109.47 109.47 109.47°
Fractional positions:
Cd  0.750  0.375  0.125
Cd  0.875  0.750  0.125
Cd  0.375  0.750  0.625
Cd  0.250  0.125  0.375
Cd  0.875  0.125  0.250
Cd  0.375  0.625  0.250
Cd  0.625  0.375  0.750
Cd  0.125  0.875  0.750
Cd  0.750  0.875  0.625
Cd  0.625  0.250  0.375
Cd  0.125  0.250  0.875
Cd  0.250  0.625  0.875
H  0.125  0.375  0.250
H  0.000  0.500  0.000
H  0.000  0.000  0.000
H  0.375  0.250  0.125
H  0.500  0.000  0.500
H  0.500  0.500  0.000
H  0.125  0.750  0.375
H  0.750  0.125  0.875
H  0.750  0.625  0.375
H  0.375  0.125  0.750
H  0.625  0.875  0.250
H  0.500  0.500  0.500
H  0.500  0.000  0.000
H  0.000  0.000  0.500
H  0.250  0.375  0.625
H  0.250  0.875  0.125
H  0.000  0.500  0.500
H  0.875  0.250  0.625
H  0.625  0.750  0.875
H  0.875  0.625  0.750
K  0.697  0.114  0.014
K  0.316  0.514  0.399
K  0.986  0.386  0.303
K  0.514  0.197  0.114
K  0.583  0.697  0.684
K  0.986  0.601  0.184
K  0.316  0.803  0.417
K  0.101  0.917  0.114
K  0.601  0.986  0.684
K  0.697  0.583  0.184
K  0.803  0.486  0.386
K  0.816  0.899  0.014
K  0.114  0.697  0.514
K  0.386  0.399  0.083
K  0.083  0.899  0.386
K  0.417  0.114  0.601
K  0.083  0.184  0.197
K  0.486  0.684  0.101
K  0.816  0.917  0.303
K  0.114  0.417  0.101
K  0.386  0.986  0.803
K  0.601  0.614  0.417
K  0.899  0.816  0.514
K  0.803  0.316  0.917
K  0.399  0.386  0.583
K  0.101  0.184  0.486
K  0.197  0.684  0.083
K  0.184  0.083  0.697
K  0.614  0.014  0.197
K  0.886  0.583  0.899
K  0.514  0.316  0.899
K  0.583  0.886  0.399
K  0.917  0.816  0.803
K  0.917  0.101  0.614
K  0.886  0.303  0.486
K  0.184  0.101  0.986
K  0.614  0.601  0.917
K  0.399  0.014  0.316
K  0.303  0.417  0.816
K  0.197  0.514  0.614
K  0.899  0.083  0.886
K  0.684  0.197  0.583
K  0.486  0.803  0.886
K  0.014  0.399  0.816
K  0.417  0.303  0.316
K  0.014  0.614  0.697
K  0.684  0.486  0.601
K  0.303  0.886  0.986

Entry 4:
Crystalline La5Pm12In2 at its relaxed geometry, computed with GGA-PBE.

SG: C2/m, No. 12
uncorrected energy: -4.6147 eV/atom
energy of formation from the pure elements: -0.03 eV per atom

Cell: 9.398 9.205 8.733 Å, 93.03 90.00 120.70°
Fractional positions:
La  0.232  0.464  0.578
La  0.305  0.610  0.985
La  0.000  0.000  0.500
La  0.695  0.390  0.015
La  0.768  0.536  0.422
Pm  0.925  0.849  0.114
Pm  0.041  0.715  0.762
Pm  0.673  0.715  0.762
Pm  0.181  0.748  0.327
Pm  0.567  0.748  0.327
Pm  0.445  0.890  0.674
Pm  0.555  0.110  0.326
Pm  0.819  0.252  0.673
Pm  0.433  0.252  0.673
Pm  0.959  0.285  0.238
Pm  0.327  0.285  0.238
Pm  0.075  0.151  0.886
In  0.675  0.000  0.000
In  0.325  0.000  0.000

Entry 5:
Crystalline TaBiSeBr2 at its relaxed geometry, computed with GGA-PBE.

SG: P4/mmm, No. 123
uncorrected energy: -4.3928 eV/atom
formation energy (no corrections): 0.120 eV per atom
offset from the most stable computed form: 0 meV per atom

Cell: 5.195 5.195 5.113 Å, 90.00 90.00 90.00°
Fractional positions:
Se  0.000  0.000  0.500
Bi  0.500  0.500  0.500
Br  0.000  0.500  0.000
Br  0.500  0.000  0.000
Ta  0.000  0.000  0.000

Entry 6:
Crystalline Ac2Mg2Pd at its relaxed geometry, computed with GGA-PBE.

SG: I4_1/amd, No. 141
uncorrected energy: -3.5540 eV/atom
energy of formation from the pure elements: -0.23 eV per atom

Cell: 5.067 5.067 13.217 Å, 101.05 101.05 90.00°
Fractional positions:
Ac  0.814  0.814  0.628
Ac  0.564  0.064  0.128
Ac  0.936  0.436  0.872
Ac  0.186  0.186  0.372
Mg  0.423  0.923  0.847
Mg  0.673  0.673  0.347
Mg  0.327  0.327  0.653
Mg  0.077  0.577  0.153
Pd  0.500  0.500  0.000
Pd  0.250  0.750  0.500

Entry 7:
Crystalline Pa3CuNi8 at its relaxed geometry, computed with GGA-PBE.

SG: R3m, No. 160
uncorrected energy: -6.9571 eV/atom
energy of formation from the pure elements: -0.39 eV per atom

Cell: 4.926 4.926 8.680 Å, 73.52 73.52 60.00°
Fractional positions:
Pa  0.377  0.377  0.868
Pa  0.992  0.992  0.023
Pa  0.507  0.507  0.479
Cu  0.871  0.871  0.387
Ni  0.939  0.435  0.191
Ni  0.442  0.938  0.682
Ni  0.435  0.435  0.191
Ni  0.938  0.938  0.682
Ni  0.188  0.188  0.436
Ni  0.688  0.688  0.937
Ni  0.435  0.939  0.191
Ni  0.938  0.442  0.682

Entry 8:
Crystalline MgCo2Tc at its relaxed geometry, computed with GGA-PBE.

SG: Pmmm, No. 47
uncorrected energy: -6.3986 eV/atom
energy of formation from the pure elements: 0.14 eV per atom

Cell: 2.707 3.466 5.656 Å, 90.00 90.00 90.00°
Fractional positions:
Co  0.000  0.000  0.971
Co  0.000  0.000  0.529
Mg  0.500  0.500  0.250
Tc  0.500  0.500  0.750

Entry 9:
Crystalline PrPaPtRh at its relaxed geometry, computed with GGA-PBE.

SG: Amm2, No. 38
uncorrected energy: -7.7870 eV/atom
energy of formation from the pure elements: -0.87 eV per atom

Cell: 3.790 4.134 6.371 Å, 90.00 107.30 90.00°
Fractional positions:
Pr  0.151  0.000  0.302
Pa  0.883  0.500  0.767
Pt  0.567  0.500  0.134
Rh  0.399  0.000  0.798

Entry 10:
Crystalline Te2MoRhN at its relaxed geometry, computed with GGA-PBE.

SG: P4/mmm, No. 123
uncorrected energy: -5.7949 eV/atom
formation energy (no corrections): 0.763 eV per atom
offset from the most stable computed form: 194 meV per atom

Cell: 5.411 5.411 3.649 Å, 90.00 90.00 90.00°
Fractional positions:
Mo  0.500  0.500  0.500
Te  0.000  0.500  0.000
Te  0.500  0.000  0.000
Rh  0.000  0.000  0.000
N  0.000  0.000  0.500

Entry 11:
Crystalline NaLi2Ac2In5 at its relaxed geometry, computed with GGA-PBE.

SG: P4/mbm, No. 127
uncorrected energy: -3.0386 eV/atom
energy of formation from the pure elements: -0.33 eV per atom

Cell: 4.606 10.733 10.733 Å, 90.00 90.00 90.00°
Fractional positions:
Na  0.000  0.000  0.000
Na  0.000  0.500  0.500
Li  0.000  0.108  0.608
Li  0.000  0.892  0.392
Li  0.000  0.608  0.892
Li  0.000  0.392  0.108
Ac  0.000  0.684  0.184
Ac  0.000  0.316  0.816
Ac  0.000  0.184  0.316
Ac  0.000  0.816  0.684
In  0.500  0.212  0.061
In  0.500  0.788  0.939
In  0.500  0.061  0.788
In  0.500  0.712  0.439
In  0.500  0.939  0.212
In  0.500  0.288  0.561
In  0.500  0.561  0.712
In  0.500  0.439  0.288
In  0.500  0.500  0.000
In  0.500  0.000  0.500

Entry 12:
Crystalline AlCoSe2 at its relaxed geometry, computed with GGA-PBE.

SG: Cmmm, No. 65
uncorrected energy: -4.3636 eV/atom
formation energy (no corrections): 0.091 eV per atom

Cell: 3.945 3.945 7.002 Å, 90.00 90.00 127.73°
Fractional positions:
Co  0.500  0.500  0.750
Al  0.500  0.500  0.250
Se  0.000  0.000  0.986
Se  0.000  0.000  0.514

Entry 13:
Crystalline HoTm2Sc at its relaxed geometry, computed with GGA-PBE.

SG: Cmcm, No. 63
uncorrected energy: -4.9175 eV/atom
offset from the most stable computed form: 21 meV per atom
energy of formation from the pure elements: 0.05 eV per atom

Cell: 6.880 6.880 13.737 Å, 119.92 119.92 90.19°
Fractional positions:
Ho  0.248  0.002  0.375
Ho  0.752  0.998  0.625
Ho  0.252  0.498  0.125
Ho  0.748  0.502  0.875
Tm  0.746  0.997  0.875
Tm  0.254  0.003  0.125
Tm  0.754  0.503  0.625
Tm  0.246  0.497  0.375
Tm  0.747  0.496  0.125
Tm  0.253  0.504  0.875
Tm  0.753  0.004  0.375
Tm  0.247  0.996  0.625
Sc  0.247  0.503  0.625
Sc  0.753  0.497  0.375
Sc  0.253  0.997  0.875
Sc  0.747  0.003  0.125

Entry 14:
Crystalline Pm2ThP at its relaxed geometry, computed with GGA-PBE.

SG: R-3m, No. 166
uncorrected energy: -6.2093 eV/atom
energy of formation from the pure elements: -0.63 eV per atom

Cell: 3.860 3.860 9.532 Å, 78.32 78.32 60.00°
Fractional positions:
P  0.000  0.000  0.000
Th  0.500  0.500  0.500
Pm  0.271  0.271  0.186
Pm  0.729  0.729  0.814

Entry 15:
Crystalline TlAs2AuSe4 at its relaxed geometry, computed with GGA-PBE.

SG: I222, No. 23
uncorrected energy: -3.6442 eV/atom
formation energy (no corrections): -0.034 eV per atom

Cell: 6.916 7.315 7.315 Å, 48.64 61.79 61.79°
Fractional positions:
Tl  0.000  0.000  0.000
As  0.220  0.280  0.280
As  0.780  0.720  0.720
Au  0.500  0.500  0.500
Se  0.467  0.091  0.608
Se  0.166  0.909  0.392
Se  0.834  0.608  0.091
Se  0.533  0.392  0.909

Entry 16:
Crystalline Mn2NbCl at its relaxed geometry, computed with GGA-PBE.

SG: I-42d, No. 122
uncorrected energy: -6.8526 eV/atom
formation energy (no corrections): 0.711 eV per atom
offset from the most stable computed form: 0 meV per atom

Cell: 6.638 6.638 5.337 Å, 51.54 51.54 90.00°
Fractional positions:
Nb  0.000  0.000  0.000
Nb  0.750  0.250  0.500
Mn  0.551  0.125  0.250
Mn  0.199  0.625  0.250
Mn  0.375  0.449  0.750
Mn  0.875  0.801  0.750
Cl  0.500  0.500  0.000
Cl  0.250  0.750  0.500

Entry 17:
Crystalline W4Se at its relaxed geometry, computed with GGA-PBE.

SG: Pm-3m, No. 221
uncorrected energy: -9.2757 eV/atom
formation energy (no corrections): 1.784 eV per atom
offset from the most stable computed form: 1187 meV per atom

Cell: 4.535 4.535 4.535 Å, 90.00 90.00 90.00°
Fractional positions:
W  0.000  0.000  0.000
W  0.500  0.000  0.500
W  0.000  0.500  0.500
W  0.500  0.500  0.000
Se  0.500  0.500  0.500

Entry 18:
Crystalline SmEuCdCu at its relaxed geometry, computed with GGA-PBE.

SG: F-43m, No. 216
uncorrected energy: -5.1686 eV/atom
energy of formation from the pure elements: -0.17 eV per atom

Cell: 5.291 5.291 5.291 Å, 60.00 60.00 60.00°
Fractional positions:
Eu  0.750  0.750  0.750
Cu  0.500  0.500  0.500
Sm  0.250  0.250  0.250
Cd  0.000  0.000  0.000

Entry 19:
Crystalline LiU2S3 at its relaxed geometry, computed with GGA-PBE.

SG: Immm, No. 71
uncorrected energy: -7.4920 eV/atom
formation energy (no corrections): -1.347 eV per atom

Cell: 3.763 5.438 6.762 Å, 113.71 106.15 90.00°
Fractional positions:
Li  0.500  0.500  0.500
U  0.832  0.832  0.164
U  0.168  0.168  0.836
S  0.841  0.341  0.183
S  0.159  0.659  0.817
S  0.500  0.000  0.500

Entry 20:
Crystalline AcCeHoCd at its relaxed geometry, computed with GGA-PBE.

SG: F-43m, No. 216
uncorrected energy: -3.7626 eV/atom
energy of formation from the pure elements: 0.12 eV per atom

Cell: 5.622 5.622 5.622 Å, 60.00 60.00 60.00°
Fractional positions:
Ac  0.250  0.250  0.250
Ho  0.500  0.500  0.500
Ce  0.000  0.000  0.000
Cd  0.750  0.750  0.750